This record from Alexandria via LeMat-Bulk describes a relaxed structure of Tb6Ce2Pr3Ho. The functional is PBE.

Computed properties:
magnetic moment = 1.99 Bohr magnetons per cell
E = -4.834 eV per atom
DFT formation energy = 0.047 eV per atom

Geometry as extended XYZ:
```
12
Lattice="6.2204 -0.0013 0.0027 -3.1098 5.3873 0.0027 -1.0412 -1.8029 11.6670" Properties=species:S:1:pos:R:3 pbc="T T T"
Tb -1.0440 1.8069 2.8544
Tb 2.0868 -0.0013 2.8544
Tb -0.0174 3.5844 8.8182
Tb 0.0032 0.0056 8.8145
Tb 3.1134 1.7762 8.8182
Tb 2.0662 3.5775 2.8580
Pr 4.1496 -0.0074 5.8363
Pr 1.0347 1.7916 5.8363
Pr -2.0803 3.5905 5.8363
Ho 0.0000 0.0000 0.0000
Ce 0.0022 3.5900 0.0027
Ce 3.1084 1.7960 0.0027
```